Record 1
DFT (PBE-GGA) results for a relaxed structure of CeNbC.

## Properties
Distance to the lowest polymorph of the same formula (meV per atom): 254
Energy relative to the elements (meV/atom): 83
Symmetry: No. 107

The structure in CIF format:
```
data_CeNbC
_chemical_formula_sum 'Ce1 Nb1 C1'
_cell_length_a 3.100
_cell_length_b 3.100
_cell_length_c 5.680
_cell_angle_alpha 105.83
_cell_angle_beta 105.83
_cell_angle_gamma 90.00
_space_group_name_H-M_alt 'P 1'
_space_group_IT_number 1
loop_
_space_group_symop_operation_xyz
'x,y,z'
loop_
_atom_site_label
_atom_site_type_symbol
_atom_site_fract_x
_atom_site_fract_y
_atom_site_fract_z
_atom_site_occupancy
C1 C 0.730 0.730 0.459 1
Nb1 Nb 0.272 0.272 0.544 1
Ce1 Ce 0.998 0.998 0.997 1
```

Record 2
DFT (PBE-GGA) results for a relaxed structure of Th4BiTe2.

## Properties
Distance to the lowest polymorph of the same formula (meV per atom): 0
Symmetry: No. 139
Formation energy from raw total energies (eV per atom): -0.5783

The structure in CIF format:
```
data_Th4BiTe2
_chemical_formula_sum 'Th4 Bi1 Te2'
_cell_length_a 6.622
_cell_length_b 6.622
_cell_length_c 6.622
_cell_angle_alpha 110.28
_cell_angle_beta 109.07
_cell_angle_gamma 109.07
_space_group_name_H-M_alt 'P 1'
_space_group_IT_number 1
loop_
_space_group_symop_operation_xyz
'x,y,z'
loop_
_atom_site_label
_atom_site_type_symbol
_atom_site_fract_x
_atom_site_fract_y
_atom_site_fract_z
_atom_site_occupancy
Th1 Th 0.000 0.500 0.000 1
Te1 Te 0.500 0.500 0.000 1
Th2 Th 0.500 0.500 0.500 1
Th3 Th 0.000 0.000 0.500 1
Th4 Th 0.500 0.000 0.000 1
Bi1 Bi 0.000 0.000 0.000 1
Te2 Te 0.500 0.000 0.500 1
```

Record 3
DFT (PBE-GGA) results for a relaxed structure of GdLuNiAg.

## Properties
Energy relative to the elements (meV/atom): -313
Symmetry: No. 216

The structure in CIF format:
```
data_GdLuNiAg
_chemical_formula_sum 'Gd1 Lu1 Ni1 Ag1'
_cell_length_a 4.949
_cell_length_b 4.949
_cell_length_c 4.949
_cell_angle_alpha 60.00
_cell_angle_beta 60.00
_cell_angle_gamma 60.00
_space_group_name_H-M_alt 'P 1'
_space_group_IT_number 1
loop_
_space_group_symop_operation_xyz
'x,y,z'
loop_
_atom_site_label
_atom_site_type_symbol
_atom_site_fract_x
_atom_site_fract_y
_atom_site_fract_z
_atom_site_occupancy
Ni1 Ni 0.250 0.250 0.250 1
Ag1 Ag 0.750 0.750 0.750 1
Gd1 Gd 0.500 0.500 0.500 1
Lu1 Lu 0.000 0.000 0.000 1
```

Record 4
DFT (PBE-GGA) results for a relaxed structure of RbCu3Ni.

## Properties
Distance to the lowest polymorph of the same formula (meV per atom): 1571
Energy relative to the elements (meV/atom): 2220
Symmetry: No. 221

The structure in CIF format:
```
data_RbCu3Ni
_chemical_formula_sum 'Rb1 Cu3 Ni1'
_cell_length_a 5.025
_cell_length_b 5.025
_cell_length_c 5.025
_cell_angle_alpha 90.00
_cell_angle_beta 90.00
_cell_angle_gamma 90.00
_space_group_name_H-M_alt 'P 1'
_space_group_IT_number 1
loop_
_space_group_symop_operation_xyz
'x,y,z'
loop_
_atom_site_label
_atom_site_type_symbol
_atom_site_fract_x
_atom_site_fract_y
_atom_site_fract_z
_atom_site_occupancy
Cu1 Cu 0.000 0.000 0.500 1
Rb1 Rb 0.000 0.000 0.000 1
Cu2 Cu 0.500 0.000 0.000 1
Ni1 Ni 0.500 0.500 0.500 1
Cu3 Cu 0.000 0.500 0.000 1
```